(1)
# Tb7Br12O, optimized geometry, DFT PBE
# - Energy relative to the elements, uncorrected: -167.6 kJ/mol of atoms
# - Crystal system: trigonal
# - Size of the total moment: 0.00 μB/atom
# - Energy: -4.609 eV/atom
data_Tb7Br12O
_chemical_formula_sum 'Tb21 Br36 O3'
_symmetry_space_group_name_H-M 'R -3'
_symmetry_Int_Tables_number 148
_symmetry_space_group_name_Hall '-R 3'
_cell_length_a 14.4588
_cell_length_b 14.4588
_cell_length_c 9.5827
_cell_angle_alpha 90.00
_cell_angle_beta 90.00
_cell_angle_gamma 120.00
loop_
_atom_site_label
_atom_site_fract_x
_atom_site_fract_y
_atom_site_fract_z
Tb1 0.0000 0.0000 0.0000
Tb2 0.0425 0.8887 0.3534
Br1 0.0244 0.4382 0.1636
Br2 0.0520 0.8653 0.8367
O1 0.0000 0.0000 0.5000

=====

(2)
# Cd2FePt, optimized geometry, DFT PBE
# - Crystal system: tetragonal
# - Size of the total moment: 0.73 μB/atom
# - Energy: -4.034 eV/atom
# - ΔE_f: 0.0491 eV/atom
data_Cd2FePt
_chemical_formula_sum 'Cd4 Fe2 Pt2'
_symmetry_space_group_name_H-M 'I 4/m m m'
_symmetry_Int_Tables_number 139
_symmetry_space_group_name_Hall '-I 4 2'
_cell_length_a 4.016
_cell_length_b 4.016
_cell_length_c 8.478
_cell_angle_alpha 90.00
_cell_angle_beta 90.00
_cell_angle_gamma 90.00
loop_
_atom_site_label
_atom_site_fract_x
_atom_site_fract_y
_atom_site_fract_z
Cd1 0.000 0.500 0.250
Fe1 0.000 0.000 0.000
Pt1 0.000 0.000 0.500

=====

(3)
# CaThGe2Rh5, optimized geometry, DFT PBE
# - Crystal system: tetragonal
# - Size of the total moment: 0.00 μB/atom
# - Energy: -6.749 eV/atom
# - ΔE_f: -0.5923 eV/atom
data_CaThGe2Rh5
_chemical_formula_sum 'Ca1 Th1 Ge2 Rh5'
_symmetry_space_group_name_H-M 'P 4/m m m'
_symmetry_Int_Tables_number 123
_symmetry_space_group_name_Hall '-P 4 2'
_cell_length_a 4.266
_cell_length_b 4.266
_cell_length_c 8.775
_cell_angle_alpha 90.00
_cell_angle_beta 90.00
_cell_angle_gamma 90.00
loop_
_atom_site_label
_atom_site_fract_x
_atom_site_fract_y
_atom_site_fract_z
Ca1 0.000 0.000 0.000
Th1 0.000 0.000 0.500
Ge1 0.500 0.500 0.355
Rh1 0.000 0.500 0.228
Rh2 0.500 0.500 0.000

=====

(4)
# AcTiN2, optimized geometry, DFT PBE
# - Energy relative to the elements, uncorrected: -104.8 kJ/mol of atoms
# - Crystal system: trigonal
# - Size of the total moment: 0.00 μB/atom
# - Energy: -8.250 eV/atom
# - Energy above the most stable polymorph in this dataset: 1.13 eV per formula unit
data_AcTiN2
_chemical_formula_sum 'Ac3 Ti3 N6'
_symmetry_space_group_name_H-M 'R -3 m'
_symmetry_Int_Tables_number 166
_symmetry_space_group_name_Hall '-R 3 2"'
_cell_length_a 3.3162
_cell_length_b 3.3162
_cell_length_c 17.6744
_cell_angle_alpha 90.00
_cell_angle_beta 90.00
_cell_angle_gamma 120.00
loop_
_atom_site_label
_atom_site_fract_x
_atom_site_fract_y
_atom_site_fract_z
Ac1 0.0000 0.0000 0.0000
Ti1 0.0000 0.0000 0.5000
N1 0.0000 0.0000 0.2293